Arrangement a

First-principles (PBE) data for a relaxed TlNi9 crystal, as listed in OQMD via LeMat-Bulk.

a b c (Å): 2.6447 2.6447 44.1840
angles (deg): 90.00 90.00 90.00
Element x y z (fractional)
Tl: 0.2500 0.2500 0.1424
Tl: 0.7500 0.7500 0.8576
Ni: 0.2500 0.2500 0.2302
Ni: 0.2500 0.2500 0.3021
Ni: 0.2500 0.2500 0.3746
Ni: 0.2500 0.2500 0.4462
Ni: 0.2500 0.2500 0.5177
Ni: 0.2500 0.2500 0.5894
Ni: 0.2500 0.2500 0.6617
Ni: 0.2500 0.2500 0.7338
Ni: 0.2500 0.2500 0.8058
Ni: 0.7500 0.7500 0.1942
Ni: 0.7500 0.7500 0.2662
Ni: 0.7500 0.7500 0.3383
Ni: 0.7500 0.7500 0.4106
Ni: 0.7500 0.7500 0.4823
Ni: 0.7500 0.7500 0.5538
Ni: 0.7500 0.7500 0.6254
Ni: 0.7500 0.7500 0.6979
Ni: 0.7500 0.7500 0.7698

***

Arrangement b

First-principles (PBE) data for a relaxed TlNi9 crystal, as listed in OQMD via LeMat-Bulk.

a b c (Å): 2.5677 3.4155 38.2497
angles (deg): 90.00 90.00 90.00
Element x y z (fractional)
Tl: 0.2500 0.2500 0.1769
Tl: 0.7500 0.7500 0.8231
Ni: 0.2500 0.2500 0.2577
Ni: 0.2500 0.2500 0.3228
Ni: 0.2500 0.2500 0.3875
Ni: 0.2500 0.2500 0.4519
Ni: 0.2500 0.2500 0.5161
Ni: 0.2500 0.2500 0.5804
Ni: 0.2500 0.2500 0.6446
Ni: 0.2500 0.2500 0.7092
Ni: 0.2500 0.2500 0.7737
Ni: 0.7500 0.7500 0.2263
Ni: 0.7500 0.7500 0.2908
Ni: 0.7500 0.7500 0.3554
Ni: 0.7500 0.7500 0.4196
Ni: 0.7500 0.7500 0.4839
Ni: 0.7500 0.7500 0.5481
Ni: 0.7500 0.7500 0.6125
Ni: 0.7500 0.7500 0.6772
Ni: 0.7500 0.7500 0.7423

***

Which is the most stable structure? arrangement b is the most stable.

***

Arrangement a

First-principles (PBE) data for a relaxed TlNi17 crystal, as listed in OQMD via LeMat-Bulk.

a b c (Å): 4.2728 4.9393 31.1586
angles (deg): 90.00 90.06 90.00
Element x y z (fractional)
Tl: 0.0000 0.0000 0.0000
Tl: 0.3336 0.5000 0.5814
Ni: 0.0002 0.5000 0.4206
Ni: 0.0005 0.0000 0.2259
Ni: 0.0007 0.0000 0.4203
Ni: 0.1663 0.2479 0.0957
Ni: 0.1663 0.7521 0.0957
Ni: 0.1667 0.2500 0.2906
Ni: 0.1671 0.2522 0.4854
Ni: 0.1671 0.7478 0.4854
Ni: 0.1667 0.7500 0.2906
Ni: 0.3332 0.0000 0.1610
Ni: 0.3329 0.5000 0.1614
Ni: 0.3330 0.5000 0.3553
Ni: 0.3340 0.0000 0.3551
Ni: 0.3350 0.0000 0.5492
Ni: 0.4998 0.2501 0.2260
Ni: 0.5000 0.2504 0.4205
Ni: 0.4998 0.7499 0.2260
Ni: 0.5000 0.7496 0.4205
Ni: 0.5006 0.2557 0.0324
Ni: 0.5006 0.7443 0.0324
Ni: 0.6624 0.5000 0.4858
Ni: 0.6651 0.5000 0.0964
Ni: 0.6665 0.5000 0.2907
Ni: 0.6670 0.0000 0.2904
Ni: 0.6681 0.0000 0.4848
Ni: 0.6712 0.0000 0.0953
Ni: 0.8329 0.2440 0.5489
Ni: 0.8335 0.2495 0.1610
Ni: 0.8335 0.7505 0.1610
Ni: 0.8329 0.7560 0.5489
Ni: 0.8335 0.2499 0.3552
Ni: 0.8335 0.7501 0.3552
Ni: 0.9981 0.5000 0.0322
Ni: 0.9994 0.5000 0.2260

***

Arrangement b

First-principles (PBE) data for a relaxed TlNi17 crystal, as listed in OQMD via LeMat-Bulk.

a b c (Å): 4.9299 4.9299 31.3248
angles (deg): 90.00 90.00 120.00
Element x y z (fractional)
Tl: 0.3333 0.6667 0.2904
Tl: 0.6667 0.3333 0.7096
Ni: 0.0000 0.0000 0.0000
Ni: 0.0000 0.0000 0.1940
Ni: 0.0000 0.0000 0.8060
Ni: 0.0000 0.5000 0.0000
Ni: 0.0016 0.5008 0.1931
Ni: 0.1662 0.3325 0.1288
Ni: 0.1662 0.3323 0.9360
Ni: 0.1662 0.8338 0.1288
Ni: 0.1662 0.8338 0.9360
Ni: 0.1672 0.3345 0.7435
Ni: 0.1672 0.8328 0.7435
Ni: 0.3323 0.1662 0.0640
Ni: 0.3325 0.1662 0.8712
Ni: 0.3333 0.6667 0.0645
Ni: 0.3333 0.6667 0.8724
Ni: 0.3345 0.1672 0.2565
Ni: 0.4992 0.5008 0.1931
Ni: 0.4992 0.9984 0.1931
Ni: 0.5000 0.0000 0.0000
Ni: 0.5000 0.5000 0.0000
Ni: 0.5008 0.0016 0.8069
Ni: 0.5008 0.4992 0.8069
Ni: 0.6655 0.8328 0.7435
Ni: 0.6667 0.3333 0.1276
Ni: 0.6667 0.3333 0.9355
Ni: 0.6675 0.8338 0.1288
Ni: 0.6677 0.8338 0.9360
Ni: 0.8328 0.1672 0.2565
Ni: 0.8328 0.6655 0.2565
Ni: 0.8338 0.1662 0.0640
Ni: 0.8338 0.1662 0.8712
Ni: 0.8338 0.6677 0.0640
Ni: 0.8338 0.6675 0.8712
Ni: 0.9984 0.4992 0.8069

***

Which is the most stable structure? arrangement b is the most stable.

***

Arrangement a

First-principles (PBE) data for a relaxed UNiW crystal, as listed in OQMD via LeMat-Bulk.

a b c (Å): 6.0590 6.0590 6.0590
angles (deg): 90.00 90.00 90.00
Element x y z (fractional)
U: 0.0000 0.0000 0.0000
U: 0.0000 0.5000 0.5000
U: 0.5000 0.0000 0.5000
U: 0.5000 0.5000 0.0000
Ni: 0.2500 0.2500 0.7500
Ni: 0.2500 0.7500 0.2500
Ni: 0.7500 0.2500 0.2500
Ni: 0.7500 0.7500 0.7500
W: 0.0000 0.0000 0.5000
W: 0.0000 0.5000 0.0000
W: 0.5000 0.0000 0.0000
W: 0.5000 0.5000 0.5000

***

Arrangement b

First-principles (PBE) data for a relaxed UNiW crystal, as listed in OQMD via LeMat-Bulk.

a b c (Å): 6.1340 6.1340 6.1340
angles (deg): 90.00 90.00 90.00
Element x y z (fractional)
U: 0.0000 0.0000 0.0000
U: 0.0000 0.5000 0.5000
U: 0.5000 0.0000 0.5000
U: 0.5000 0.5000 0.0000
Ni: 0.2500 0.2500 0.7500
Ni: 0.2500 0.7500 0.2500
Ni: 0.7500 0.2500 0.2500
Ni: 0.7500 0.7500 0.7500
W: 0.2500 0.2500 0.2500
W: 0.2500 0.7500 0.7500
W: 0.7500 0.2500 0.7500
W: 0.7500 0.7500 0.2500

***

Which is the most stable structure? arrangement a is the most stable.

***

Arrangement a

First-principles (PBE) data for a relaxed ZrUNi crystal, as listed in OQMD via LeMat-Bulk.

a b c (Å): 6.3239 6.3239 6.3239
angles (deg): 90.00 90.00 90.00
Element x y z (fractional)
Zr: 0.0000 0.0000 0.0000
Zr: 0.0000 0.5000 0.5000
Zr: 0.5000 0.0000 0.5000
Zr: 0.5000 0.5000 0.0000
U: 0.0000 0.0000 0.5000
U: 0.0000 0.5000 0.0000
U: 0.5000 0.0000 0.0000
U: 0.5000 0.5000 0.5000
Ni: 0.2500 0.2500 0.2500
Ni: 0.2500 0.7500 0.7500
Ni: 0.7500 0.2500 0.7500
Ni: 0.7500 0.7500 0.2500

***

Arrangement b

First-principles (PBE) data for a relaxed ZrUNi crystal, as listed in OQMD via LeMat-Bulk.

a b c (Å): 6.2707 6.2707 6.2707
angles (deg): 90.00 90.00 90.00
Element x y z (fractional)
Zr: 0.0000 0.0000 0.0000
Zr: 0.0000 0.5000 0.5000
Zr: 0.5000 0.0000 0.5000
Zr: 0.5000 0.5000 0.0000
U: 0.2500 0.2500 0.7500
U: 0.2500 0.7500 0.2500
U: 0.7500 0.2500 0.2500
U: 0.7500 0.7500 0.7500
Ni: 0.0000 0.0000 0.5000
Ni: 0.0000 0.5000 0.0000
Ni: 0.5000 0.0000 0.0000
Ni: 0.5000 0.5000 0.5000

***

Which is the most stable structure? arrangement a is the most stable.

***

Arrangement a

First-principles (PBE) data for a relaxed Ni9W4 crystal, as listed in OQMD via LeMat-Bulk.

a b c (Å): 8.9449 8.9449 8.9449
angles (deg): 30.26 30.26 30.26
Element x y z (fractional)
Ni: 0.0000 0.0000 0.0000
Ni: 0.0895 0.0895 0.5870
Ni: 0.0895 0.5870 0.0895
Ni: 0.1672 0.1672 0.1672
Ni: 0.4130 0.9105 0.9105
Ni: 0.5870 0.0895 0.0895
Ni: 0.8328 0.8328 0.8328
Ni: 0.9105 0.4130 0.9105
Ni: 0.9105 0.9105 0.4130
W: 0.3464 0.3464 0.3464
W: 0.4518 0.4518 0.4518
W: 0.5482 0.5482 0.5482
W: 0.6536 0.6536 0.6536

***

Arrangement b

First-principles (PBE) data for a relaxed Ni9W4 crystal, as listed in OQMD via LeMat-Bulk.

a b c (Å): 8.8168 8.8168 8.8168
angles (deg): 31.18 31.18 31.18
Element x y z (fractional)
Ni: 0.0000 0.0000 0.0000
Ni: 0.0929 0.0929 0.5882
Ni: 0.0929 0.5882 0.0929
Ni: 0.3489 0.3489 0.3489
Ni: 0.4118 0.9071 0.9071
Ni: 0.5882 0.0929 0.0929
Ni: 0.6511 0.6511 0.6511
Ni: 0.9071 0.4118 0.9071
Ni: 0.9071 0.9071 0.4118
W: 0.1631 0.1631 0.1631
W: 0.4494 0.4494 0.4494
W: 0.5506 0.5506 0.5506
W: 0.8369 0.8369 0.8369

***

Arrangement c

First-principles (PBE) data for a relaxed Ni9W4 crystal, as listed in OQMD via LeMat-Bulk.

a b c (Å): 8.8275 8.8275 8.8275
angles (deg): 30.62 30.62 30.62
Element x y z (fractional)
Ni: 0.0000 0.0000 0.0000
Ni: 0.0902 0.0902 0.5861
Ni: 0.0902 0.5861 0.0902
Ni: 0.4139 0.9098 0.9098
Ni: 0.4528 0.4528 0.4528
Ni: 0.5472 0.5472 0.5472
Ni: 0.5861 0.0902 0.0902
Ni: 0.9098 0.4139 0.9098
Ni: 0.9098 0.9098 0.4139
W: 0.1669 0.1669 0.1669
W: 0.3537 0.3537 0.3537
W: 0.6463 0.6463 0.6463
W: 0.8331 0.8331 0.8331

***

Which is the most stable structure? arrangement c is the most stable.